Computed, not measured: a relaxed Tb3Nd8Tm2 crystal at the PBE level of DFT.

Properties
**Formation energy**: 256.6 kJ/mol of formula units
**Spin magnetization**: 0.000 μB/cell
**DOS at the Fermi energy**: 1.41 states/eV per atom

POSCAR file:
```
Tb3Nd8Tm2
1.0
-4.9209 1.6887 -2.4828
-2.5320 -7.3190 0.0405
-2.8506 5.1402 9.1495
Tb Nd Tm
3 8 2
Direct
0.5000 0.0000 0.0000 Tb
0.0000 0.2859 0.0000 Tb
0.0000 0.7141 0.0000 Tb
0.0002 0.6739 0.3478 Nd
0.9998 0.3261 0.6522 Nd
0.9997 0.1322 0.2645 Nd
0.0003 0.8678 0.7355 Nd
0.5001 0.5991 0.7861 Nd
0.5001 0.1873 0.7862 Nd
0.4999 0.8127 0.2138 Nd
0.4999 0.4009 0.2139 Nd
0.4996 0.2403 0.4802 Tm
0.5004 0.7597 0.5198 Tm
```